(1)
RbWI2O: optimized geometry, PBE with a Hubbard U.

Computed properties:
Its magnetic moment is 3.74 μB/f.u. Its energy above the most stable polymorph in this dataset is 1.712 eV per atom. The calculation puts the uncorrected energy at -0.178 Ry/atom. Its space group is No. 123.

a = 6.5517 Å, b = 6.5517 Å, c = 4.4208 Å
α = 90.00°, β = 90.00°, γ = 90.00°
Atoms (fractional coordinates):
Rb1 0.0000 0.0000 0.0000
W1 0.5000 0.5000 0.5000
I1 0.0000 0.5000 0.0000
I2 0.5000 0.0000 0.0000
O1 0.0000 0.0000 0.5000

---

(2)
RbW2IO: optimized geometry, PBE with a Hubbard U.

Computed properties:
Its magnetic moment is 9.40 μB/f.u. The calculation puts the uncorrected energy at -0.217 Ry/atom. Its space group is No. 123.

a = 5.8141 Å, b = 5.8141 Å, c = 4.7006 Å
α = 90.00°, β = 90.00°, γ = 90.00°
Atoms (fractional coordinates):
Rb1 0.0000 0.0000 0.0000
W1 0.0000 0.5000 0.5000
W2 0.5000 0.0000 0.5000
I1 0.5000 0.5000 0.5000
O1 0.5000 0.5000 0.0000

---

Among the records above, which one has the highest magnetic moment? RbW2IO

---

Which value of uncorrected energy does entry 1 give? -0.178 Ry/atom

---

magnetic moment of number 1 (RbWI2O)? 3.74 μB/f.u.